[1]
Computed, not measured: crystalline ZrCd2P at its relaxed geometry at the GGA-PBEsol level of DFT.

It has space group R-3m (No. 166, hexagonal axes), with a = 3.1095 Å, b = 3.1095 Å, c = 28.2517 Å, α = 90.00°, β = 90.00° and γ = 120.00°. The inequivalent atoms are Zr at (0.0000, 0.0000, 0.0000), Cd at (0.0000, 0.0000, 0.2437) and P at (0.0000, 0.0000, 0.5000).

As for the total energy: -4.17 eV per atom. For the formation energy, the calculation gives 0.1511 eV per atom. The value obtained for the size of the total moment is 0.00 μB/f.u.

[2]
Computed, not measured: crystalline ZrCdP3 at its relaxed geometry at the GGA-PBEsol level of DFT.

It has space group Pm-3m (No. 221), with a = 4.948 Å, b = 4.948 Å, c = 4.948 Å, α = 90.00°, β = 90.00° and γ = 90.00°. The inequivalent atoms are Zr at (0.000, 0.000, 0.000), Cd at (0.500, 0.500, 0.500) and P at (0.000, 0.000, 0.500).

As for the total energy: -5.13 eV per atom. For the formation energy, the calculation gives 0.4056 eV per atom. The value obtained for the size of the total moment is 0.00 μB/f.u.

[3]
Computed, not measured: crystalline ZrCd4P at its relaxed geometry at the GGA-PBEsol level of DFT.

It has space group F-43m (No. 216), with a = 7.889 Å, b = 7.889 Å, c = 7.889 Å, α = 90.00°, β = 90.00° and γ = 90.00°. The inequivalent atoms are Zr at (0.000, 0.000, 0.000), Cd at (0.125, 0.125, 0.625) and P at (0.250, 0.250, 0.250).

As for the total energy: -2.97 eV per atom. For the formation energy, the calculation gives 0.3113 eV per atom. The value obtained for the size of the total moment is 0.01 μB/f.u.

[4]
Computed, not measured: crystalline Cd4Pb5 at its relaxed geometry at the GGA-PBEsol level of DFT.

It has space group P6_3/mcm (No. 193), with a = 9.3324 Å, b = 9.3324 Å, c = 6.3280 Å, α = 90.00°, β = 90.00° and γ = 120.00°. The inequivalent atoms are Cd at (0.0000, 0.0000, 0.0000), Cd at (0.0000, 0.3634, 0.2500), Pb at (0.0000, 0.2986, 0.7500) and Pb at (0.3333, 0.6667, 0.0000).

As for the total energy: -2.66 eV per atom. For the formation energy, the calculation gives 0.0958 eV per atom. The value obtained for the size of the total moment is 0.00 μB/f.u.

Q: What is the size of the total moment in the third record?
A: 0.01 μB/f.u.